Density functional theory data (PBE) for KAgF3 after structural relaxation.

Calculated values
space group	Cmce, No. 64
uncorrected formation energy	-1809	meV per atom
theoretical density	3.74	g cm⁻³

abc: 11.112 7.404 7.404
angles: 71.52 117.07 62.93
Fractional coordinates of all 20 atoms:
F1 0.958 0.685 0.565
F2 0.958 0.150 0.101
K1 0.780 0.592 0.652
K2 0.720 0.152 0.092
F3 0.458 0.935 0.815
F4 0.542 0.065 0.185
F5 0.222 0.156 0.099
Ag1 0.750 0.123 0.623
Ag2 0.750 0.623 0.123
Ag3 0.250 0.377 0.877
F6 0.458 0.399 0.350
F7 0.722 0.401 0.344
F8 0.278 0.599 0.656
Ag4 0.250 0.877 0.377
K3 0.220 0.408 0.348
F9 0.042 0.315 0.435
F10 0.778 0.844 0.901
F11 0.542 0.601 0.650
F12 0.042 0.850 0.899
K4 0.280 0.848 0.908

=====

Density functional theory data (PBE) for Mg2TlCu after structural relaxation.

Calculated values
space group	Cmmm, No. 65
energy of formation	0.0310	eV/atom
theoretical density	6.61	g cm⁻³

abc: 4.686 4.686 3.622
angles: 90.00 90.00 90.16
Fractional coordinates of all 4 atoms:
Tl1 0.500 0.000 0.500
Cu1 0.000 0.500 0.500
Mg1 0.500 0.500 0.000
Mg2 0.000 0.000 0.000